Computed, not measured: a geometry-optimized CaCd2Co structure at the PBE level of DFT.

Summary:
E_tot: -10.4 eV/f.u.
ΔE_f: 0.124 eV/atom
N(E_F): 5.21 states/eV/f.u.

Geometry as POSCAR:
```
CaCd2Co
1.0
4.533 0.000 0.000
-2.266 3.926 0.000
0.000 0.000 15.433
Ca Cd Co
3 6 3
direct
0.000 0.000 0.000
0.333 0.667 0.667
0.667 0.333 0.333
0.000 0.000 0.212
0.000 0.000 0.788
0.333 0.667 0.455
0.333 0.667 0.879
0.667 0.333 0.121
0.667 0.333 0.545
0.000 0.000 0.500
0.333 0.667 0.167
0.667 0.333 0.833
```